[1]
DFT (PBE-GGA) results for an optimized crystal structure of ScNi3Os.

Geometry as extended XYZ:
```
5
Lattice="-1.835 3.367 2.340 -3.708 -0.269 -2.521 -1.749 -2.962 2.889" Properties=species:S:1:pos:R:3 pbc="T T T"
Sc -3.646 0.068 1.354
Ni -1.854 -0.134 -1.261
Ni -0.875 -1.481 1.445
Ni -0.918 1.683 1.170
Os 0.000 0.000 0.000
```

## Properties
Energy above the lowest structure with this stoichiometry ... 0.000 eV per atom
Formation enthalpy at 0 K ... 74.0 kJ per mole of atoms
Symmetry ... Pm-3m, No. 221

=====

[2]
DFT (PBE-GGA) results for an optimized crystal structure of Sc3NiOs.

Geometry as extended XYZ:
```
5
Lattice="-2.980 1.153 3.409 -0.857 -4.526 0.781 3.495 -0.127 3.099" Properties=species:S:1:pos:R:3 pbc="T T T"
Sc -0.429 -2.263 0.391
Sc 1.748 -0.063 1.549
Sc -1.490 0.576 1.705
Ni 0.000 0.000 0.000
Os -0.171 -1.750 3.645
```

## Properties
Energy above the lowest structure with this stoichiometry ... 0.026 eV per atom
Formation enthalpy at 0 K ... 31.5 kJ per mole of atoms
Symmetry ... Pm-3m, No. 221

=====

[3]
DFT (PBE-GGA) results for an optimized crystal structure of Sc2NiOs.

Geometry as extended XYZ:
```
4
Lattice="-3.054 -0.227 0.989 1.020 -0.701 2.988 1.029 5.424 4.423" Properties=species:S:1:pos:R:3 pbc="T T T"
Sc 1.029 5.410 4.418
Sc 1.025 2.376 3.710
Ni -1.014 1.067 2.347
Os 0.010 3.429 6.053
```

## Properties
Energy above the lowest structure with this stoichiometry ... 0.000 eV per atom
Formation enthalpy at 0 K ... -48.4 kJ per mole of atoms
Symmetry ... Pmmm, No. 47

=====

[4]
DFT (PBE-GGA) results for an optimized crystal structure of Sc2NiOs2.

Geometry as extended XYZ:
```
10
Lattice="-0.820 1.990 -6.068 -3.589 -5.204 -1.222 -3.407 2.081 1.143" Properties=species:S:1:pos:R:3 pbc="T T T"
Sc -4.280 -2.131 -1.332
Sc -5.211 -1.893 -4.544
Sc -3.536 0.998 -4.815
Sc -2.604 0.760 -1.603
Ni 0.000 0.000 0.000
Ni -2.204 -1.607 -3.645
Os -3.413 -3.782 -3.287
Os -2.982 -1.568 -6.035
Os -0.996 0.568 -4.003
Os -1.426 -1.646 -1.255
```

## Properties
Formation enthalpy at 0 K ... -18.2 kJ per mole of atoms
Symmetry ... P4/mbm, No. 127